First-principles (PBE) data for an optimized crystal structure of Ba2CdPt4Pb3, as listed in Alexandria.

Cell lengths 4.930, 4.930, 10.881 Å; angles 90.00, 90.00, 90.00 degrees
Sites, in units of the cell vectors:
Ba: 0.500 0.000 0.244
Ba: 0.000 0.500 0.756
Cd: 0.500 0.500 0.500
Pt: 0.500 0.500 0.000
Pt: 0.000 0.000 0.000
Pt: 0.500 0.000 0.625
Pt: 0.000 0.500 0.375
Pb: 0.000 0.000 0.500
Pb: 0.500 0.000 0.880
Pb: 0.000 0.500 0.120

Final energy in eV/cell: -45.24
M_tot in Bohr magnetons per cell: 0.00
Energy relative to the elements in eV per atom: -0.52

First-principles (PBE) data for an optimized crystal structure of Ba2CdPt3Pb4, as listed in Alexandria.

Cell lengths 4.949, 4.949, 11.339 Å; angles 90.00, 90.00, 90.00 degrees
Sites, in units of the cell vectors:
Ba: 0.500 0.000 0.253
Ba: 0.000 0.500 0.747
Cd: 0.500 0.500 0.500
Pt: 0.000 0.000 0.500
Pt: 0.500 0.000 0.878
Pt: 0.000 0.500 0.122
Pb: 0.500 0.500 0.000
Pb: 0.000 0.000 0.000
Pb: 0.500 0.000 0.635
Pb: 0.000 0.500 0.365

Final energy in eV/cell: -42.33
M_tot in Bohr magnetons per cell: 0.00
Energy relative to the elements in eV per atom: -0.46

First-principles (PBE) data for an optimized crystal structure of Ba2CdPtPb, as listed in Alexandria.

Cell lengths 6.074, 5.256, 6.074 Å; angles 90.00, 90.00, 90.00 degrees
Sites, in units of the cell vectors:
Pb: 0.500 0.500 0.500
Ba: 0.000 0.000 0.500
Ba: 0.500 0.000 0.000
Pt: 0.000 0.000 0.000
Cd: 0.000 0.500 0.000

Final energy in eV/cell: -16.70
M_tot in Bohr magnetons per cell: 0.00
Energy relative to the elements in eV per atom: -0.44
Offset from the most stable computed form in kJ/mol of formula units: 0.0

First-principles (PBE) data for an optimized crystal structure of Ba2CdPtPb, as listed in Alexandria.

Cell lengths 6.241, 6.241, 5.215 Å; angles 90.00, 90.00, 90.00 degrees
Sites, in units of the cell vectors:
Pb: 0.000 0.000 0.500
Ba: 0.000 0.500 0.000
Ba: 0.500 0.000 0.000
Pt: 0.000 0.000 0.000
Cd: 0.500 0.500 0.500

Final energy in eV/cell: -16.52
M_tot in Bohr magnetons per cell: 0.00
Energy relative to the elements in eV per atom: -0.40
Offset from the most stable computed form in kJ/mol of formula units: 17.8

First-principles (PBE) data for an optimized crystal structure of BaCdPt2Pb2, as listed in Alexandria.

Cell lengths 4.847, 5.494, 13.224 Å; angles 90.00, 90.00, 90.00 degrees
Sites, in units of the cell vectors:
Ba: 0.500 0.500 0.000
Ba: 0.000 0.000 0.500
Cd: 0.000 0.000 0.000
Cd: 0.500 0.500 0.500
Pt: 0.500 0.793 0.338
Pt: 0.500 0.207 0.662
Pt: 0.000 0.707 0.838
Pt: 0.000 0.293 0.162
Pb: 0.500 0.279 0.273
Pb: 0.000 0.779 0.227
Pb: 0.500 0.721 0.727
Pb: 0.000 0.221 0.773

Final energy in eV/cell: -48.96
M_tot in Bohr magnetons per cell: 0.00
Energy relative to the elements in eV per atom: -0.36

First-principles (PBE) data for an optimized crystal structure of BaCd2PtPb, as listed in Alexandria.

Cell lengths 4.658, 4.840, 7.111 Å; angles 109.90, 109.12, 90.00 degrees
Sites, in units of the cell vectors:
Ba: 0.434 0.434 0.868
Cd: 0.704 0.204 0.409
Cd: 0.045 0.045 0.090
Pt: 0.828 0.828 0.656
Pb: 0.201 0.701 0.401

Final energy in eV/cell: -15.55
M_tot in Bohr magnetons per cell: 0.00
Energy relative to the elements in eV per atom: -0.41
Offset from the most stable computed form in kJ/mol of formula units: 0.0

First-principles (PBE) data for an optimized crystal structure of RbBa2Cd2Pb2, as listed in Alexandria.

Cell lengths 5.376, 5.376, 11.970 Å; angles 77.02, 77.02, 60.00 degrees
Last column: magnetic moment on the atom in μB.
Sites, in units of the cell vectors:
Rb: 0.000 0.000 0.000  0.00
Ba: 0.129 0.129 0.612  0.06
Ba: 0.871 0.871 0.388  0.06
Cd: 0.590 0.590 0.230  0.01
Cd: 0.410 0.410 0.770  0.01
Pb: 0.749 0.749 0.753  0.00
Pb: 0.251 0.251 0.247  0.00

Final energy in eV/cell: -15.99
M_tot in Bohr magnetons per cell: 0.64
Energy relative to the elements in eV per atom: -0.28

First-principles (PBE) data for an optimized crystal structure of BaCdRe2Pb, as listed in Alexandria.

Cell lengths 5.210, 6.351, 5.210 Å; angles 90.00, 90.00, 90.00 degrees
Last column: magnetic moment on the atom in μB.
Sites, in units of the cell vectors:
Pb: 0.000 0.000 0.000  -0.09
Re: 0.000 0.000 0.500  1.89
Re: 0.500 0.000 0.000  1.85
Ba: 0.000 0.500 0.000  -0.08
Cd: 0.500 0.500 0.500  0.02

Final energy in eV/cell: -21.20
M_tot in Bohr magnetons per cell: 4.08
Energy relative to the elements in eV per atom: 2.05